Entry 1:
## NpInAuO6 (PBE)

Data for a relaxed NpInAuO6 crystal.

```
NpInAuO6
1.0
-1.1719 -2.8706 -4.6371
1.6549 -2.6865 4.6000
-8.9250 -0.7941 2.7471
O Au Np In
12 2 2 2
Cartesian
-4.0238 -2.2392 -1.9481
-0.8925 -3.7100 0.2423
-1.5663 -1.1993 -1.2208
-3.1456 -2.2480 0.9027
-3.3777 -4.8176 -0.5944
-5.2964 -4.1032 1.8074
-4.4182 -4.1120 4.6581
-6.8757 -5.1519 3.9309
-5.0643 -1.5336 3.3044
-1.7594 -3.8324 -2.6093
-6.6826 -2.5188 5.3194
-7.5495 -2.6412 2.4678
0.0000 0.0000 0.0000
-4.4625 -0.3970 1.3736
-2.4609 -3.0078 -0.8713
-5.9811 -3.3434 3.5813
-6.9234 -3.4048 0.5023
-1.5186 -2.9464 2.2078
```

Computed properties:
magnetization	1.41	μB/cell
space group	P-31c, No. 163
electronic total energy	-61.7	eV/f.u.
formation energy from raw total energies	-1443	meV/atom
calculated volume	126	Å³/f.u.

Entry 2:
## NpInPdAu (PBE)

Data for a relaxed NpInPdAu crystal.

```
NpInPdAu
1.0
4.9245 0.0000 0.0000
2.4622 4.2647 0.0000
2.4622 1.4216 4.0208
Pd Au Np In
1 1 1 1
Cartesian
0.0000 0.0000 0.0000
4.9245 2.8431 2.0104
7.3867 4.2647 3.0156
2.4622 1.4216 1.0052
```

Computed properties:
ΔH_f (0 K)	-0.23	eV/atom
magnetization	4.05	μB/cell
space group	F-43m, No. 216
electronic total energy	-25.1	eV/f.u.
calculated volume	84	Å³/f.u.

Entry 3:
## NpInSnAu (PBE)

Data for a relaxed NpInSnAu crystal.

```
NpInSnAu
1.0
5.1253 0.0000 0.0000
2.5627 4.4387 0.0000
2.5627 1.4796 4.1848
Au Sn In Np
1 1 1 1
Cartesian
5.1253 2.9591 2.0924
2.5627 1.4796 1.0462
7.6880 4.4387 3.1386
0.0000 0.0000 0.0000
```

Computed properties:
ΔH_f (0 K)	0.09	eV/atom
magnetization	4.58	μB/cell
space group	F-43m, No. 216
electronic total energy	-22.6	eV/f.u.
calculated volume	95	Å³/f.u.

Entry 4:
## NpTlInAu (PBE)

Data for a relaxed NpTlInAu crystal.

```
NpTlInAu
1.0
-4.1571 1.9453 2.3287
-4.6207 -0.3940 -2.2321
-3.5532 -3.1539 1.9789
Np Au Tl In
1 1 1 1
Cartesian
-6.1655 -0.8013 1.0378
-9.2482 -1.2020 1.5566
-3.0827 -0.4007 0.5189
0.0000 0.0000 0.0000
```

Computed properties:
ΔH_f (0 K)	0.04	eV/atom
magnetization	4.24	μB/cell
space group	F-43m, No. 216
electronic total energy	-21.2	eV/f.u.
calculated volume	96	Å³/f.u.

Entry 5:
## NpZnInAu (PBE)

Data for a relaxed NpZnInAu crystal.

```
NpZnInAu
1.0
4.9423 0.0000 0.0000
2.4711 4.2802 0.0000
2.4711 1.4267 4.0354
Au In Zn Np
1 1 1 1
Cartesian
7.4134 4.2802 3.0265
0.0000 0.0000 0.0000
2.4711 1.4267 1.0088
4.9423 2.8534 2.0177
```

Computed properties:
ΔH_f (0 K)	-0.09	eV/atom
magnetization	4.09	μB/cell
space group	F-43m, No. 216
electronic total energy	-20.6	eV/f.u.
calculated volume	85	Å³/f.u.

Entry 6:
## In2Au2O7 (PBE)

Data for a relaxed In2Au2O7 crystal.

```
In2Au2O7
1.0
6.3309 0.0000 3.6552
2.1103 5.9688 3.6552
0.0000 0.0000 7.3103
O Au In
14 4 4
Cartesian
5.3844 1.3386 5.2946
3.0569 4.6302 5.2946
1.1637 2.8308 2.0157
5.3844 1.3386 9.3260
1.1637 2.8308 5.2946
0.2172 0.1536 3.6552
4.2206 2.9844 7.3103
3.0569 0.1536 2.0157
3.0569 4.6302 9.3260
4.0034 2.8308 3.6552
6.5481 4.6302 7.3103
1.8931 1.3386 7.3103
3.0569 0.1536 5.2946
6.3309 4.4766 10.9655
4.2206 0.7461 3.6552
1.0552 0.7461 5.4827
2.1103 3.7305 3.6552
1.0552 0.7461 1.8276
5.2758 3.7305 9.1379
2.1103 3.7305 7.3103
4.2206 0.7461 7.3103
5.2758 3.7305 5.4827
```

Computed properties:
magnetization	3.86	μB/cell
space group	Fd-3m, No. 227
electronic total energy	-53.1	eV/f.u.
formation energy from raw total energies	-578	meV/atom
calculated volume	138	Å³/f.u.